VASP calculation (PBE-GGA) on a relaxed Sm3PtI7 crystal.

Computed properties:
formation energy without anion corrections	-1.262	eV/atom
raw total energy	-44.94	eV for the cell shown
magnetic moment	0.00	μB/cell

Cell and atoms, written as CIF:
```
data_Sm3PtI7
_chemical_formula_sum 'Sm3 Pt1 I7'
_cell_length_a 8.7459
_cell_length_b 8.7459
_cell_length_c 7.4840
_cell_angle_alpha 90.00
_cell_angle_beta 90.00
_cell_angle_gamma 120.00
_symmetry_space_group_name_H-M 'P 3 m 1'
_symmetry_Int_Tables_number 156
_symmetry_space_group_name_Hall 'P 3 -2"'
loop_
_atom_site_label
_atom_site_type_symbol
_atom_site_fract_x
_atom_site_fract_y
_atom_site_fract_z
Sm1 Sm 0.0235 0.5117 0.0000
Pt1 Pt 0.3333 0.6667 0.7962
I1 I 0.1676 0.3352 0.2567
I2 I 0.3350 0.1675 0.7712
I3 I 0.6667 0.3333 0.2443
```

---

VASP calculation (PBE-GGA) on a relaxed ScMo2Se crystal.

Computed properties:
formation energy without anion corrections	-0.080	eV/atom
polymorph energy (0 for the lowest one)	0	meV per atom
raw total energy	-31.80	eV for the cell shown
magnetic moment	0.00	μB/cell

Cell and atoms, written as CIF:
```
data_ScMo2Se
_chemical_formula_sum 'Sc1 Mo2 Se1'
_cell_length_a 3.738
_cell_length_b 3.738
_cell_length_c 4.952
_cell_angle_alpha 90.00
_cell_angle_beta 90.00
_cell_angle_gamma 90.00
_symmetry_space_group_name_H-M 'P 4/m m m'
_symmetry_Int_Tables_number 123
_symmetry_space_group_name_Hall '-P 4 2'
loop_
_atom_site_label
_atom_site_type_symbol
_atom_site_fract_x
_atom_site_fract_y
_atom_site_fract_z
Sc1 Sc 0.000 0.000 0.000
Mo1 Mo 0.000 0.500 0.500
Se1 Se 0.500 0.500 0.000
```

---

VASP calculation (PBE-GGA) on a relaxed Ac6Co2RhCl3 crystal.

Computed properties:
formation energy without anion corrections	-0.990	eV/atom
raw total energy	-127.26	eV for the cell shown
magnetic moment	0.00	μB/cell

Cell and atoms, written as CIF:
```
data_Ac6Co2RhCl3
_chemical_formula_sum 'Ac12 Co4 Rh2 Cl6'
_cell_length_a 20.125
_cell_length_b 4.232
_cell_length_c 9.380
_cell_angle_alpha 90.00
_cell_angle_beta 111.06
_cell_angle_gamma 90.00
_symmetry_space_group_name_H-M 'C 1 2/m 1'
_symmetry_Int_Tables_number 12
_symmetry_space_group_name_Hall '-C 2y'
loop_
_atom_site_label
_atom_site_type_symbol
_atom_site_fract_x
_atom_site_fract_y
_atom_site_fract_z
Ac1 Ac 0.013 0.000 0.229
Ac2 Ac 0.159 0.500 0.116
Ac3 Ac 0.179 0.500 0.554
Co1 Co 0.167 0.000 0.335
Rh1 Rh 0.000 0.500 0.000
Cl1 Cl 0.000 0.500 0.500
Cl2 Cl 0.167 0.000 0.833
```

---

VASP calculation (PBE-GGA) on a relaxed FeH3Pt crystal.

Computed properties:
polymorph energy (0 for the lowest one)	0	meV per atom
raw total energy	-23.13	eV for the cell shown
magnetic moment	2.99	μB/cell

Cell and atoms, written as CIF:
```
data_FeH3Pt
_chemical_formula_sum 'Fe1 H3 Pt1'
_cell_length_a 3.487
_cell_length_b 3.487
_cell_length_c 3.487
_cell_angle_alpha 90.00
_cell_angle_beta 90.00
_cell_angle_gamma 90.00
_symmetry_space_group_name_H-M 'P m -3 m'
_symmetry_Int_Tables_number 221
_symmetry_space_group_name_Hall '-P 4 2 3'
loop_
_atom_site_label
_atom_site_type_symbol
_atom_site_fract_x
_atom_site_fract_y
_atom_site_fract_z
Fe1 Fe 0.000 0.000 0.000
H1 H 0.000 0.500 0.500
Pt1 Pt 0.500 0.500 0.500
```